(A)
Entry from Alexandria via LeMat-Bulk: crystalline Os2SeO at its relaxed geometry (GGA-PBE).

Structure (POSCAR):
```
Os2SeO
1.0
0.000 2.949 2.949
2.949 0.000 2.949
2.949 2.949 0.000
Os O Se
2 1 1
Cartesian
1.475 1.475 1.475
4.424 4.424 4.424
0.000 0.000 0.000
2.949 2.949 2.949
```

Computed properties:
spin magnetization = 0.0 μB per formula unit
volume = 12.8 A^3/atom


(B)
Entry from Alexandria via LeMat-Bulk: crystalline Os2SeO at its relaxed geometry (GGA-PBE).

Structure (POSCAR):
```
Os2SeO
1.0
-0.500 -1.981 3.630
4.117 -0.586 0.247
2.469 4.801 5.351
Os O Se
4 2 2
Cartesian
0.860 0.052 3.339
3.087 0.423 2.245
3.547 2.590 5.487
4.678 1.402 7.385
1.808 -1.284 1.939
4.197 1.465 3.768
0.000 0.000 0.000
1.889 0.768 5.460
```

Computed properties:
spin magnetization = 0.0 μB per formula unit
volume = 15.2 A^3/atom


Tell me which of them is the least stable. Sure, it is (A).


(A)
Entry from Alexandria via LeMat-Bulk: crystalline Sm2OsO6 at its relaxed geometry (GGA-PBE).

Structure (POSCAR):
```
Sm2OsO6
1.0
-3.823 -1.190 3.133
2.332 -4.357 1.190
4.833 4.683 7.677
Sm Os O
4 2 12
Cartesian
1.596 1.546 2.535
3.267 1.114 8.535
0.075 -1.979 3.465
3.237 3.137 5.142
0.000 0.000 0.000
1.671 -0.432 6.000
1.260 -0.076 4.117
0.712 -2.116 5.707
5.348 0.245 8.136
1.457 2.247 9.365
1.885 -3.111 2.635
-2.006 -1.109 3.863
2.630 1.252 6.293
2.082 -0.789 7.883
-0.399 -1.486 1.158
-1.091 -4.062 3.165
3.320 -1.280 5.480
0.023 0.416 6.520
```

Computed properties:
spin magnetization = 2.0 μB per formula unit
volume = 14.7 A^3/atom


(B)
Entry from Alexandria via LeMat-Bulk: crystalline Sm2OsO6 at its relaxed geometry (GGA-PBE).

Structure (POSCAR):
```
Sm2OsO6
1.0
-1.016 4.913 2.270
-4.663 0.770 -3.754
-4.469 -4.123 4.706
Sm Os O
4 2 12
Cartesian
-6.267 1.899 4.201
-8.112 0.301 1.312
-2.036 1.258 1.910
-3.881 -0.339 -0.978
-2.840 2.841 -0.742
-2.235 -2.061 2.353
-6.434 3.790 -0.334
-6.872 2.400 1.949
-8.126 0.519 3.778
-3.943 1.300 3.594
-5.828 -0.477 4.915
-3.742 2.577 0.925
-3.714 -2.230 3.556
-3.276 -0.840 1.273
-2.023 1.041 -0.556
-6.205 0.260 -0.372
-4.320 2.036 -1.692
-6.406 -1.017 2.297
```

Computed properties:
spin magnetization = 2.0 μB per formula unit
volume = 14.1 A^3/atom


Tell me which of them is the least stable. Sure, it is (A).


(A)
Entry from Alexandria via LeMat-Bulk: crystalline SnOs2O at its relaxed geometry (GGA-PBE).

Structure (POSCAR):
```
SnOs2O
1.0
4.574 0.000 0.000
0.000 4.574 0.000
2.287 2.287 6.749
Os Sn O
4 2 2
Cartesian
2.758 1.143 1.687
1.816 3.430 1.687
3.430 4.102 5.062
5.717 5.045 5.062
0.000 0.000 0.000
4.574 2.287 3.375
2.287 2.287 0.000
2.287 4.574 3.375
```

Computed properties:
spin magnetization = 0.0 μB per formula unit
volume = 17.6 A^3/atom


(B)
Entry from Alexandria via LeMat-Bulk: crystalline SnOs2O at its relaxed geometry (GGA-PBE).

Structure (POSCAR):
```
SnOs2O
1.0
3.232 2.307 1.813
-0.345 1.367 4.131
2.486 -1.794 3.108
Os Sn O
2 1 1
Cartesian
1.343 0.470 2.263
4.030 1.410 6.789
2.686 0.940 4.526
0.000 0.000 0.000
```

Computed properties:
spin magnetization = 0.0 μB per formula unit
volume = 14.7 A^3/atom


Tell me which of them is the least stable. Sure, it is (B).


(A)
Entry from Alexandria via LeMat-Bulk: crystalline SnOs3O at its relaxed geometry (GGA-PBE).

Structure (POSCAR):
```
SnOs3O
1.0
4.949 0.000 0.000
0.000 4.949 0.000
0.000 0.000 4.949
Os Sn O
3 1 1
Cartesian
0.000 2.475 0.000
0.000 0.000 2.475
2.475 0.000 0.000
0.000 0.000 0.000
2.475 2.475 2.475
```

Computed properties:
spin magnetization = 7.6 μB per formula unit
volume = 24.2 A^3/atom


(B)
Entry from Alexandria via LeMat-Bulk: crystalline SnOs3O at its relaxed geometry (GGA-PBE).

Structure (POSCAR):
```
SnOs3O
1.0
-2.281 -1.791 -3.002
3.459 -1.674 -1.630
-0.504 -3.379 2.399
Os Sn O
3 1 1
Cartesian
1.729 -0.837 -0.815
-0.252 -1.689 1.199
-1.141 -0.895 -1.501
0.337 -3.421 -1.117
0.000 0.000 0.000
```

Computed properties:
spin magnetization = 0.0 μB per formula unit
volume = 14.5 A^3/atom


Tell me which of them is the least stable. Sure, it is (A).